A plane-wave DFT calculation with PBE was carried out for a relaxed structure of NbCSeBr2.

POSCAR file:
```
NbCSeBr2
1.0
-1.1452 -1.1891 -4.2978
2.6705 -3.7365 0.3222
-3.4727 -2.3462 1.5745
Br Se C Nb
2 1 1 1
Direct
0.5000 0.0000 0.0000 Br
0.0000 0.5000 0.0000 Br
0.0000 0.0000 0.5000 Se
0.0000 0.0000 0.0000 C
0.5000 0.5000 0.5000 Nb
```

## Properties
* energy: -19.71 eV per cell
* E_form (uncorrected): 1283 meV/atom
* relative energy among the computed polymorphs: 184.2 meV/atom
* volume: 94.90 Å³ per cell

***

A plane-wave DFT calculation with PBE was carried out for a relaxed structure of TbNdY2Se6.

POSCAR file:
```
TbNdY2Se6
1.0
7.2921 0.0002 0.0001
3.6462 6.3152 0.0000
3.6458 2.1053 6.5177
Se Y Tb Nd
6 2 1 1
Direct
0.2259 0.9136 0.2477 Se
0.6128 0.2259 0.2477 Se
0.7241 0.1260 0.7494 Se
0.1260 0.4006 0.7494 Se
0.9136 0.6128 0.2477 Se
0.4005 0.7241 0.7494 Se
0.0126 0.0126 0.9622 Y
0.5152 0.5152 0.4545 Y
0.3175 0.3174 0.0476 Tb
0.8134 0.8135 0.5596 Nd
```

## Properties
* energy: -61.78 eV per cell
* E_form (uncorrected): -1855 meV/atom
* volume: 300.14 Å³ per cell

***

Repeat the second record exactly.
A plane-wave DFT calculation with PBE was carried out for a relaxed structure of TbNdY2Se6.

POSCAR file:
```
TbNdY2Se6
1.0
7.2921 0.0002 0.0001
3.6462 6.3152 0.0000
3.6458 2.1053 6.5177
Se Y Tb Nd
6 2 1 1
Direct
0.2259 0.9136 0.2477 Se
0.6128 0.2259 0.2477 Se
0.7241 0.1260 0.7494 Se
0.1260 0.4006 0.7494 Se
0.9136 0.6128 0.2477 Se
0.4005 0.7241 0.7494 Se
0.0126 0.0126 0.9622 Y
0.5152 0.5152 0.4545 Y
0.3175 0.3174 0.0476 Tb
0.8134 0.8135 0.5596 Nd
```

## Properties
* energy: -61.78 eV per cell
* E_form (uncorrected): -1855 meV/atom
* volume: 300.14 Å³ per cell

***

> What is the energy in the second record?

-61.78 eV per cell